{
  "formula": "NaLaMg2Rh",
  "functional": "PBE",
  "state": "optimized geometry",
  "cell": [[5.262, 0.000, 0.000], [0.000, 5.262, 0.000], [0.000, 0.000, 5.302]],
  "species": ["Na", "Mg", "Mg", "Rh", "La"],
  "fractional_positions": [[0.500, 0.500, 0.500], [0.000, 0.500, 0.000], [0.500, 0.000, 0.000], [0.000, 0.000, 0.000], [0.000, 0.000, 0.500]],
  "delta_e_f_ev_per_atom": -0.245,
  "magnetic_moment_mub_per_fu": 0.00,
  "space_group": "No. 123"
}

{
  "formula": "NaLa2MgRu",
  "functional": "PBE",
  "state": "optimized geometry",
  "cell": [[5.433, 0.000, 0.000], [0.000, 5.433, 0.000], [0.000, 0.000, 5.445]],
  "species": ["Ru", "Mg", "Na", "La", "La"],
  "fractional_positions": [[0.000, 0.000, 0.000], [0.000, 0.000, 0.500], [0.500, 0.500, 0.500], [0.000, 0.500, 0.000], [0.500, 0.000, 0.000]],
  "delta_e_f_ev_per_atom": -0.117,
  "magnetic_moment_mub_per_fu": 0.00,
  "space_group": "No. 123",
  "de_polymorph_kj_per_mol_atoms": 0.0
}

{
  "formula": "NaLaMg2Ru",
  "functional": "PBE",
  "state": "optimized geometry",
  "cell": [[-0.266, -3.434, -4.045], [3.376, -3.234, 2.523], [-3.968, -2.369, 2.272]],
  "species": ["Ru", "Mg", "Mg", "Na", "La"],
  "fractional_positions": [[0.000, 0.000, 0.000], [0.000, 0.500, 0.000], [0.500, 0.000, 0.000], [0.500, 0.500, 0.500], [0.000, 0.000, 0.500]],
  "delta_e_f_ev_per_atom": -0.023,
  "magnetic_moment_mub_per_fu": 0.00,
  "space_group": "No. 123"
}

{
  "formula": "NaLa2MgRu",
  "functional": "PBE",
  "state": "optimized geometry",
  "cell": [[-3.831, 1.988, -3.112], [2.265, -2.277, -4.242], [-3.163, -4.749, 0.860]],
  "species": ["Ru", "Mg", "Na", "La", "La"],
  "fractional_positions": [[0.000, 0.000, 0.000], [0.500, 0.500, 0.500], [0.000, 0.000, 0.500], [0.000, 0.500, 0.000], [0.500, 0.000, 0.000]],
  "delta_e_f_ev_per_atom": 0.042,
  "magnetic_moment_mub_per_fu": 0.00,
  "space_group": "No. 123",
  "de_polymorph_kj_per_mol_atoms": 15.3
}

{
  "formula": "NaLa2MgSe4",
  "functional": "PBE",
  "state": "optimized geometry",
  "cell": [[-3.148, 2.358, 1.491], [-4.207, -2.154, -5.475], [-3.604, -6.063, 1.980]],
  "species": ["Na", "La", "La", "Mg", "Se", "Se", "Se", "Se"],
  "fractional_positions": [[0.500, 0.500, 0.000], [0.000, 0.000, 0.000], [0.500, 0.000, 0.500], [0.000, 0.500, 0.500], [0.000, 0.738, 0.743], [0.000, 0.262, 0.257], [0.500, 0.728, 0.266], [0.500, 0.272, 0.734]],
  "formation_energy_uncorrected_kj_per_mol_fu": -1240,
  "magnetic_moment_mub_per_fu": 0.00,
  "space_group": "No. 10"
}

{
  "formula": "NaLaMgSn2",
  "functional": "PBE",
  "state": "optimized geometry",
  "cell": [[-1.198, -3.246, -3.075], [-2.660, -2.041, 3.191], [-3.192, 6.339, -1.964]],
  "species": ["Na", "La", "Mg", "Sn", "Sn"],
  "fractional_positions": [[0.250, 0.750, 0.500], [0.000, 0.000, 0.000], [0.750, 0.250, 0.500], [0.607, 0.607, 0.214], [0.393, 0.393, 0.786]],
  "delta_e_f_ev_per_atom": -0.380,
  "magnetic_moment_mub_per_fu": 0.00,
  "space_group": "No. 119"
}